Record 1
{"formula": "Th2UFe3", "functional": "PBE", "state": "optimized geometry", "density_g_cm3": 12.3, "lattice": [[4.0021, 0.0000, 0.0000], [0.0000, 5.4486, 0.0000], [0.0000, 0.0000, 10.7610]], "species": ["Fe", "Fe", "Fe", "Fe", "Fe", "Fe", "Th", "Th", "Th", "Th", "U", "U"], "fractional_positions": [[0.5000, 0.5000, 0.5000], [0.5000, 0.6580, 0.9105], [0.5000, 0.3420, 0.0895], [0.0000, 0.8420, 0.4105], [0.0000, 0.0000, 0.0000], [0.0000, 0.1580, 0.5895], [0.0000, 0.3571, 0.3155], [0.5000, 0.1429, 0.8155], [0.0000, 0.6429, 0.6845], [0.5000, 0.8571, 0.1845], [0.0000, 0.5000, 0.0000], [0.5000, 0.0000, 0.5000]]}

---

Record 2
{"formula": "Pr2MgZn2", "functional": "PBE", "state": "optimized geometry", "polymorph_energy_mev_per_atom": 0, "density_g_cm3": 5.6, "lattice": [[4.5932, 0.0000, 0.0000], [0.0000, 7.4837, 0.0000], [0.0000, 0.0000, 7.4837]], "species": ["Zn", "Zn", "Zn", "Zn", "Pr", "Pr", "Pr", "Pr", "Mg", "Mg"], "fractional_positions": [[0.0000, 0.8727, 0.6273], [0.0000, 0.3727, 0.8727], [0.0000, 0.6273, 0.1273], [0.0000, 0.1273, 0.3727], [0.5000, 0.8313, 0.3313], [0.5000, 0.1687, 0.6687], [0.5000, 0.3313, 0.1687], [0.5000, 0.6687, 0.8313], [0.0000, 0.5000, 0.5000], [0.0000, 0.0000, 0.0000]]}

---

Number 1: electronic total energy -103.882 eV for the cell shown, energy relative to the elements -71 meV/atom. Number 2: electronic total energy -29.899 eV for the cell shown, energy relative to the elements -250 meV/atom.